Entry from the Alexandria database: an optimized crystal structure of YTlMo (PBE).

Cell lengths 5.636, 5.636, 5.636 Å; angles 141.97, 141.97, 54.87 degrees
Fractional coordinates of all 3 atoms:
Tl (0.352, 0.352, 0.000)
Mo (0.988, 0.988, 0.000)
Y (0.661, 0.661, 0.000)

Values from the calculation:
* E_form: 345 meV/atom
* crystal system: tetragonal